# 1
This record from the Alexandria database describes an optimized crystal structure of Tb2DyErSe4. The functional is PBE.

Computed properties:
Mass density: 8.36 g/cm³
Raw formation energy: -1.75 eV per atom
N(E_F): 4.6 states/eV/f.u.
VASP energy: -46.3 eV/cell

The structure in extended XYZ format:
```
8
Lattice="4.025 0.000 0.000 0.000 7.088 -0.179 0.000 2.459 6.647" Properties=species:S:1:pos:R:3 pbc="T T T"
Tb 0.000 2.459 6.647
Tb 2.013 1.229 3.324
Dy 2.013 3.544 -0.090
Er 0.000 4.773 3.234
Se 0.000 7.135 4.848
Se 4.025 2.412 1.620
Se 2.013 5.906 1.550
Se 2.013 3.641 4.918
```

# 2
This record from the Alexandria database describes an optimized crystal structure of Tb3Dy2ErSe6. The functional is PBE.

Computed properties:
Mass density: 8.33 g/cm³
Raw formation energy: -1.75 eV per atom
N(E_F): 5.5 states/eV/f.u.
VASP energy: -69.6 eV/cell

The structure in extended XYZ format:
```
12
Lattice="-2.716 -1.733 -2.481 3.445 -7.310 1.335 -4.827 1.459 7.598" Properties=species:S:1:pos:R:3 pbc="T T T"
Tb 0.364 -4.522 -0.573
Tb -4.893 -1.694 3.207
Tb 0.795 -5.891 3.244
Dy -3.180 -5.337 3.876
Dy -0.919 -2.247 2.575
Er -1.358 -0.866 -1.241
Se -0.990 -6.302 5.485
Se -1.415 -4.924 1.656
Se -3.109 -1.283 0.966
Se 0.845 -1.799 0.332
Se -4.943 -5.786 6.119
Se -2.683 -2.661 4.795
```